Material: Zr2Cu
Method: DFT, GGA-PBEsol
State: optimized geometry

extended XYZ file:
```
24
Lattice="8.576 0.000 0.000 4.288 7.427 0.000 4.288 2.476 7.003" Properties=species:S:1:pos:R:3 pbc="T T T"
Cu 12.865 7.427 1.742
Zr 11.275 8.345 3.954
Zr 6.432 1.238 0.875
Cu 15.731 9.082 6.422
Zr 14.454 6.510 6.550
Zr 10.166 4.034 4.799
Zr 11.275 6.510 6.550
Zr 14.454 8.345 3.954
Zr 6.987 4.034 4.799
Zr 12.865 5.592 3.954
Zr 4.288 2.476 4.377
Cu 4.288 0.834 2.331
Cu 2.866 3.297 2.331
Zr 8.576 3.116 2.203
Zr 6.987 5.869 2.203
Zr 4.288 4.952 0.875
Cu 5.710 3.297 2.331
Zr 2.144 1.238 0.875
Cu 9.999 9.082 6.422
Zr 8.576 6.787 4.799
Zr 12.865 9.263 6.550
Zr 10.166 5.869 2.203
Cu 12.865 4.118 6.422
Cu 4.288 2.476 0.009
```

=====

Material: ZrCu2
Method: DFT, GGA-PBEsol
State: optimized geometry

extended XYZ file:
```
6
Lattice="4.536 0.000 0.000 0.000 4.661 0.000 0.000 -2.331 4.205" Properties=species:S:1:pos:R:3 pbc="T T T"
Cu 3.402 0.937 2.680
Zr 1.134 3.604 0.000
Cu 1.134 -0.937 2.680
Cu 3.402 3.267 1.525
Cu 1.134 1.394 1.525
Zr 3.402 1.057 0.000
```

=====

Material: Zr2Cu
Method: DFT, GGA-PBEsol
State: optimized geometry

extended XYZ file:
```
3
Lattice="2.756 0.000 0.000 0.000 4.770 0.000 0.000 -2.385 4.131" Properties=species:S:1:pos:R:3 pbc="T T T"
Cu 1.378 0.000 0.000
Zr 0.000 0.000 2.754
Zr 0.000 2.385 1.377
```

=====

Material: Zr2Cu
Method: DFT, GGA-PBEsol
State: optimized geometry

extended XYZ file:
```
3
Lattice="-0.789 3.055 -0.488 -0.540 -1.354 2.841 6.004 1.876 2.035" Properties=species:S:1:pos:R:3 pbc="T T T"
Zr 3.492 1.401 3.125
Zr 1.184 2.176 1.262
Cu 0.000 0.000 0.000
```

=====

Material: ZrCu2
Method: DFT, GGA-PBEsol
State: optimized geometry

extended XYZ file:
```
12
Lattice="-2.591 3.755 0.221 -3.953 -2.576 -2.568 -2.733 -2.268 6.484" Properties=species:S:1:pos:R:3 pbc="T T T"
Zr -4.283 1.096 1.961
Cu -6.453 -0.346 1.022
Cu -2.824 -0.744 3.115
Cu -5.939 -2.977 4.533
Zr -3.845 -1.584 5.422
Cu -5.084 -2.080 -0.657
Cu -3.039 -0.735 0.463
Zr -4.995 -2.186 2.177
Zr -5.432 0.494 -1.285
Cu -6.239 -0.354 3.675
Cu -4.193 0.991 4.795
Cu -3.338 1.887 -0.395
```

=====

Material: Zr2Cu3
Method: DFT, GGA-PBEsol
State: optimized geometry

extended XYZ file:
```
10
Lattice="-4.008 0.786 -3.005 4.043 -2.432 -1.859 -2.750 -5.285 4.480" Properties=species:S:1:pos:R:3 pbc="T T T"
Zr -1.702 -2.381 0.040
Cu -3.457 -4.615 -0.553
Zr -5.047 -2.575 0.082
Cu 0.653 -4.190 0.332
Cu 0.033 -1.565 -4.627
Zr -3.828 -4.724 2.173
Cu -1.477 -5.064 0.969
Zr 1.105 -1.842 -1.478
Cu -1.229 -2.313 -2.671
Cu -3.275 -1.153 -1.723
```

=====

7
Lattice="-1.164 -2.958 -0.492 1.616 -0.174 -2.776 9.141 -3.074 7.377" Properties=species:S:1:pos:R:3 comment="Zr4Cu3 GGA-PBEsol optimized geometry" e_above_lowest_polymorph_mev_per_atom=0 pbc="T T T"
Cu 5.149 -2.551 3.157
Zr 2.961 -1.467 1.815
Zr 6.632 -4.740 2.294
Cu 4.444 -3.656 0.952
Zr 8.046 -3.986 4.933
Zr 1.547 -2.221 -0.824
Cu 0.000 0.000 0.000

=====

Material: Zr2Cu
Method: DFT, GGA-PBEsol
State: optimized geometry

extended XYZ file:
```
3
Lattice="3.192 0.000 0.000 0.000 3.192 0.000 -1.596 -1.596 5.502" Properties=species:S:1:pos:R:3 pbc="T T T"
Cu 1.596 1.596 0.000
Zr 0.000 0.000 1.690
Zr 1.596 1.596 3.813
```

=====

Material: ZrCu3
Method: DFT, GGA-PBEsol
State: optimized geometry

extended XYZ file:
```
8
Lattice="-3.731 -1.796 -0.545 2.478 -4.432 -2.351 -0.864 0.118 5.527" Properties=species:S:1:pos:R:3 pbc="T T T"
Zr -1.434 -4.263 -0.133
Cu -0.319 -1.761 -0.012
Cu -3.161 -1.912 3.937
Zr -0.683 -1.848 2.765
Cu -1.798 -4.350 2.644
Cu -2.685 -1.977 0.897
Cu 0.569 -4.134 1.735
Cu 1.044 -4.199 -1.305
```

=====

7
Lattice="-3.456 -3.738 -0.281 4.124 -0.110 -2.996 2.642 -2.723 3.736" Properties=species:S:1:pos:R:3 comment="Zr4Cu3 GGA-PBEsol optimized geometry" e_above_lowest_polymorph_mev_per_atom=42 pbc="T T T"
Cu 0.334 -1.924 -1.638
Zr 2.918 -2.681 -0.223
Cu 2.062 -0.055 -1.498
Cu -1.728 -1.869 -0.141
Zr 0.392 -3.890 0.682
Zr 0.664 -0.685 0.940
Zr 1.977 -2.038 2.797

=====

3
Lattice="-2.949 1.847 0.272 -2.512 -1.035 2.192 1.612 4.852 6.918" Properties=species:S:1:pos:R:3 comment="Dy GGA-PBEsol optimized geometry" e_above_lowest_polymorph_mev_per_atom=0 pbc="T T T"
Dy -0.677 1.796 2.852
Dy 0.000 0.000 0.000
Dy -3.171 3.868 6.530

=====

3
Lattice="3.385 0.000 0.000 0.000 5.472 0.000 0.000 -2.736 4.739" Properties=species:S:1:pos:R:3 comment="Dy GGA-PBEsol optimized geometry" e_above_lowest_polymorph_mev_per_atom=68 pbc="T T T"
Dy 1.693 2.736 1.580
Dy 1.693 0.000 3.159
Dy 0.000 0.000 0.000

=====

We obtain ΔH_f (0 K) values of -69, -125, 344, 121, -92, -101, -122, -130, -81, -80, 0, 68 meV/atom for the records listed above, in that order.